CdInTe2O8: relaxed, PBE.

Cell lengths 6.1604, 6.1604, 6.1604 Å; angles 107.70, 107.70, 113.07 degrees
Closest atoms and distances in Å follow each position.
Sites, in units of the cell vectors:
Cd (0.0000, 0.0000, 0.0000)  8 O 2.32-2.56
In (0.7500, 0.2500, 0.5000)  8 O 2.25-2.50
Te (0.2500, 0.7500, 0.5000)  4 O 1.87
Te (0.5000, 0.5000, 0.0000)  4 O 1.91
O (0.0601, 0.3748, 0.3147)  1 Te 1.87
O (0.0601, 0.7453, 0.6853)  1 Te 1.87
O (0.1172, 0.3128, 0.8044)  1 Te 1.91
O (0.2547, 0.9399, 0.3147)  1 Te 1.87
O (0.5084, 0.3128, 0.1956)  1 Te 1.91
O (0.6252, 0.9399, 0.6853)  1 Te 1.87
O (0.6872, 0.4916, 0.8044)  1 Te 1.91
O (0.6872, 0.8828, 0.1956)  1 Te 1.91

Computed properties:
spin magnetization = 0.0 μB per formula unit
energy relative to the elements, uncorrected = -893.0 meV/atom
volume = 15.0 Å³ per atom
SG = I-4m2, No. 119